# OsAuSe, relaxed, DFT GGA-PBE
# - VASP energy (eV/atom) = -5.612
# - total magnetic moment (Bohr magnetons per cell) = 0.0
data_OsAuSe
_chemical_formula_sum 'Os1 Au1 Se1'
_space_group_name_H-M_alt 'P 3 m 1'
_space_group_IT_number 156
_cell_length_a 3.0678
_cell_length_b 3.0678
_cell_length_c 6.7952
_cell_angle_alpha 90.00
_cell_angle_beta 90.00
_cell_angle_gamma 120.00
loop_
_space_group_symop_operation_xyz
'x,y,z'
'-y,x-y,z'
'-x+y,-x,z'
'-y,-x,z'
'-x+y,y,z'
'x,x-y,z'
loop_
_atom_site_label
_atom_site_type_symbol
_atom_site_fract_x
_atom_site_fract_y
_atom_site_fract_z
_atom_site_occupancy
Os1 Os 0.0000 0.0000 0.0000 1
Au1 Au 0.3333 0.6667 0.6719 1
Se1 Se 0.6667 0.3333 0.2451 1

---

# OsAu2Se, relaxed, DFT GGA-PBE
# - VASP energy (eV/atom) = -4.914
# - total magnetic moment (Bohr magnetons per cell) = 0.0
data_OsAu2Se
_chemical_formula_sum 'Os2 Au4 Se2'
_space_group_name_H-M_alt 'C 1 m 1'
_space_group_IT_number 8
_cell_length_a 12.369
_cell_length_b 2.948
_cell_length_c 4.573
_cell_angle_alpha 90.00
_cell_angle_beta 104.04
_cell_angle_gamma 90.00
loop_
_space_group_symop_operation_xyz
'x,y,z'
'x,-y,z'
'x+1/2,y+1/2,z'
'x+1/2,-y+1/2,z'
loop_
_atom_site_label
_atom_site_type_symbol
_atom_site_fract_x
_atom_site_fract_y
_atom_site_fract_z
_atom_site_occupancy
Os1 Os 0.000 0.000 0.000 1
Au1 Au 0.043 0.500 0.525 1
Au2 Au 0.200 0.500 0.137 1
Se1 Se 0.343 0.000 0.844 1

---

# OsAu2Se, relaxed, DFT GGA-PBE
# - VASP energy (eV/atom) = -4.507
# - total magnetic moment (Bohr magnetons per cell) = 0.0
data_OsAu2Se
_chemical_formula_sum 'Os2 Au4 Se2'
_space_group_name_H-M_alt 'I -4 m 2'
_space_group_IT_number 119
_space_group_name_Hall 'I -4 -2'
_cell_length_a 4.265
_cell_length_b 4.265
_cell_length_c 7.592
_cell_angle_alpha 90.00
_cell_angle_beta 90.00
_cell_angle_gamma 90.00
loop_
_atom_site_label
_atom_site_type_symbol
_atom_site_fract_x
_atom_site_fract_y
_atom_site_fract_z
_atom_site_occupancy
Os1 Os 0.000 0.000 0.000 1
Au1 Au 0.000 0.000 0.500 1
Au2 Au 0.000 0.500 0.250 1
Se1 Se 0.000 0.500 0.750 1

---

# OsAu2Se, relaxed, DFT GGA-PBE
# - VASP energy (eV/atom) = -4.431
# - total magnetic moment (Bohr magnetons per cell) = 1.9
data_OsAu2Se
_chemical_formula_sum 'Os2 Au4 Se2'
_space_group_name_H-M_alt 'I 4/m m m'
_space_group_IT_number 139
_space_group_name_Hall '-I 4 2'
_cell_length_a 3.891
_cell_length_b 3.891
_cell_length_c 9.272
_cell_angle_alpha 90.00
_cell_angle_beta 90.00
_cell_angle_gamma 90.00
loop_
_atom_site_label
_atom_site_type_symbol
_atom_site_fract_x
_atom_site_fract_y
_atom_site_fract_z
_atom_site_occupancy
Os1 Os 0.000 0.000 0.000 1
Au1 Au 0.000 0.500 0.250 1
Se1 Se 0.000 0.000 0.500 1

---

# Os4AuSe, relaxed, DFT GGA-PBE
# - VASP energy (eV/atom) = -7.452
# - total magnetic moment (Bohr magnetons per cell) = 3.3
data_Os4AuSe
_chemical_formula_sum 'Os16 Au4 Se4'
_space_group_name_H-M_alt 'F -4 3 m'
_space_group_IT_number 216
_space_group_name_Hall 'F -4 2 3'
_cell_length_a 7.386
_cell_length_b 7.386
_cell_length_c 7.386
_cell_angle_alpha 90.00
_cell_angle_beta 90.00
_cell_angle_gamma 90.00
loop_
_atom_site_label
_atom_site_type_symbol
_atom_site_fract_x
_atom_site_fract_y
_atom_site_fract_z
_atom_site_occupancy
Os1 Os 0.125 0.125 0.125 1
Au1 Au 0.250 0.250 0.750 1
Se1 Se 0.000 0.000 0.500 1

---

# Os3AuSe, relaxed, DFT GGA-PBE
# - VASP energy (eV/atom) = -5.078
# - total magnetic moment (Bohr magnetons per cell) = 7.6
data_Os3AuSe
_chemical_formula_sum 'Os3 Au1 Se1'
_space_group_name_H-M_alt 'P m -3 m'
_space_group_IT_number 221
_space_group_name_Hall '-P 4 2 3'
_cell_length_a 4.920
_cell_length_b 4.920
_cell_length_c 4.920
_cell_angle_alpha 90.00
_cell_angle_beta 90.00
_cell_angle_gamma 90.00
loop_
_atom_site_label
_atom_site_type_symbol
_atom_site_fract_x
_atom_site_fract_y
_atom_site_fract_z
_atom_site_occupancy
Os1 Os 0.000 0.000 0.500 1
Au1 Au 0.000 0.000 0.000 1
Se1 Se 0.500 0.500 0.500 1

---

Number 1: formation energy without anion corrections 385.1 meV/atom. Number 2: formation energy without anion corrections 403.7 meV/atom. Number 3: formation energy without anion corrections 810.0 meV/atom. Number 4: formation energy without anion corrections 886.1 meV/atom. Number 5: formation energy without anion corrections 1161.8 meV/atom. Number 6: formation energy without anion corrections 3012.6 meV/atom.